Entry 1:
Er2Ga2Ni3Pt (PBE, relaxed); raw total energy = -5.4461 eV/atom; space group = No. 156; total magnetic moment = 0.0 Bohr magnetons per cell; volume = 16.8 Å³/atom
1.0
-0.211 2.242 3.550
0.979 -4.086 0.150
8.503 2.010 -0.765
Ni Ga Er Pt
3 2 2 1
Direct
0.667 0.333 0.430
0.000 0.000 0.565
0.667 0.333 0.079
0.333 0.667 0.497
0.333 0.667 0.013
0.667 0.333 0.744
0.000 0.000 0.253
0.000 0.000 0.918


Entry 2:
GaCuReAg (PBE, relaxed); space group = No. 216; total magnetic moment = 1.2 Bohr magnetons per cell; volume = 15.1 Å³/atom; energy above the lowest structure with this stoichiometry = 0.0 meV per atom
1.0
0.000 3.111 3.111
3.111 0.000 3.111
3.111 3.111 0.000
Re Ag Ga Cu
1 1 1 1
Direct
0.250 0.250 0.250
0.500 0.500 0.500
0.000 0.000 0.000
0.750 0.750 0.750